## Li3ZnIr2 (PBE-GGA)

Data for crystalline Li3ZnIr2 at its relaxed geometry.

a b c (Å): 6.5572 7.4672 6.6600
angles (deg): 90.00 98.92 90.00
Space group C2/c (No. 15)
Inequivalent atoms, fractional coordinates:
Li (0.0000, 0.0725, 0.2500)
Li (0.2429, 0.0864, 0.9997)
Zn (0.0000, 0.4113, 0.2500)
Ir (0.1254, 0.2602, 0.6255)

Results
As for the calculated formation energy: -207 meV per atom.